# 1
Here is a relaxed Pm4HoTm3S8 crystal from the Alexandria database. Energies are from PBE.

Values from the calculation:
* crystal system: trigonal
* E_form (uncorrected): -1.9933 eV/atom

Lattice parameters (Å, degrees): 7.9701 7.9701 7.9701 58.70 58.70 58.70
Element x y z (fractional)
Pm 0.0000 0.0000 0.0000
Pm 0.0000 0.5000 0.5000
Pm 0.5000 0.0000 0.5000
Pm 0.5000 0.5000 0.0000
Ho 0.5000 0.5000 0.5000
Tm 0.0000 0.0000 0.5000
Tm 0.0000 0.5000 0.0000
Tm 0.5000 0.0000 0.0000
S 0.2418 0.7449 0.7449
S 0.2434 0.2434 0.2434
S 0.2551 0.2551 0.7582
S 0.2551 0.7582 0.2551
S 0.7449 0.2418 0.7449
S 0.7449 0.7449 0.2418
S 0.7566 0.7566 0.7566
S 0.7582 0.2551 0.2551

# 2
Here is a relaxed TmMg2AlAu4 crystal from the Alexandria database. Energies are from PBE.

Values from the calculation:
* E_form: -4.96 eV per formula unit
* crystal system: trigonal

Lattice parameters (Å, degrees): 8.5273 8.5273 8.5273 31.59 31.59 31.59
Element x y z (fractional)
Tm 0.0000 0.0000 0.0000
Mg 0.2462 0.2462 0.2462
Mg 0.7538 0.7538 0.7538
Al 0.5000 0.5000 0.5000
Au 0.1276 0.1276 0.1276
Au 0.3882 0.3882 0.3882
Au 0.6118 0.6118 0.6118
Au 0.8724 0.8724 0.8724

# 3
Here is a relaxed Cs2AcTmO4 crystal from the Alexandria database. Energies are from PBE.

Values from the calculation:
* crystal system: monoclinic
* E_form (uncorrected): -2.5389 eV/atom

Lattice parameters (Å, degrees): 6.4374 3.7042 7.2678 90.00 107.24 90.00
Element x y z (fractional)
Cs 0.0000 0.0000 0.0000
Cs 0.5000 0.5000 0.0000
Ac 0.0000 0.5000 0.5000
Tm 0.5000 0.0000 0.5000
O 0.2495 0.0000 0.6682
O 0.2963 0.5000 0.3339
O 0.7037 0.5000 0.6661
O 0.7505 0.0000 0.3318

Record order is preserved below.
Density of states at the Fermi level: 6.8, 3.2, 0.0 states/eV/cell